No. 1
DFT (GGA-PBE) results for KHfSc after structural relaxation.

a = 3.319 Å, b = 5.790 Å, c = 12.079 Å
α = 82.19°, β = 88.79°, γ = 73.47°
Space group P1 (No. 1)
Asymmetric unit:
K: 0.000 0.000 0.000 [1 per cell]
K: 0.348 0.415 0.279 [1 per cell]
Hf: 0.108 0.863 0.518 [1 per cell]
Hf: 0.831 0.406 0.560 [1 per cell]
Sc: 0.241 0.555 0.756 [1 per cell]
Sc: 0.510 0.029 0.707 [1 per cell]

Computed properties:
E_form: 417 meV/atom
ρ: 4.0 g/cm³
Total moment: 0.124 μB per atom
Energy relative to the lowest polymorph listed for this composition: 165.1 meV/atom

=====

No. 2
DFT (GGA-PBE) results for KHfSc after structural relaxation.

a = 3.266 Å, b = 5.438 Å, c = 12.608 Å
α = 84.72°, β = 84.53°, γ = 72.84°
Space group P1 (No. 1)
Asymmetric unit:
K: 0.000 0.000 0.000 [1 per cell]
K: 0.415 0.537 0.728 [1 per cell]
Hf: 0.070 0.533 0.407 [1 per cell]
Hf: 0.366 0.004 0.321 [1 per cell]
Sc: 0.670 0.481 0.208 [1 per cell]
Sc: 0.767 0.056 0.520 [1 per cell]

Computed properties:
E_form: 340 meV/atom
ρ: 4.1 g/cm³
Total moment: 0.000 μB per atom
Energy relative to the lowest polymorph listed for this composition: 87.6 meV/atom